DFT (PBE) results for crystalline Ac2YScO6 at its relaxed geometry.

Calculated values
ΔE_f (raw), eV per atom: -3.456
Crystal system: monoclinic
N(E_F), states/eV/f.u.: 0.00
Volume, A^3/atom: 15.27
Symmetry: P2_1/c

Unit cell a=5.9382 b=6.0664 c=8.4761 alpha=90.00 beta=90.30 gamma=90.00
Positions (direct):
Ac (0.0120, 0.9556, 0.2499)
Ac (0.5120, 0.5444, 0.7499)
Ac (0.9880, 0.0444, 0.7501)
Ac (0.4880, 0.4556, 0.2501)
Y (0.5000, 0.0000, 0.0000)
Y (0.0000, 0.5000, 0.5000)
Sc (0.5000, 0.0000, 0.5000)
Sc (0.0000, 0.5000, 0.0000)
O (0.2875, 0.6974, 0.0540)
O (0.7875, 0.8026, 0.5540)
O (0.7125, 0.3026, 0.9460)
O (0.2125, 0.1974, 0.4460)
O (0.3042, 0.7111, 0.4440)
O (0.8042, 0.7889, 0.9440)
O (0.6958, 0.2889, 0.5560)
O (0.1958, 0.2111, 0.0560)
O (0.8980, 0.5383, 0.2419)
O (0.3980, 0.9617, 0.7419)
O (0.1020, 0.4617, 0.7581)
O (0.6020, 0.0383, 0.2581)